(1)
Here is LiMn2P3O12 at its PBEsol-relaxed geometry from the Alexandria database. Energies are from SCAN.

Geometry as extended XYZ:
```
72
Lattice="8.117 0.000 0.004 0.000 8.374 0.000 0.064 0.000 11.556" Properties=species:S:1:pos:R:3 pbc="T T T"
Li 0.618 7.472 8.044
Li 3.536 3.285 9.292
Li 4.644 5.089 2.268
Li 7.563 0.902 3.516
Mn 2.022 3.955 7.038
Mn 2.132 8.142 10.297
Mn 1.985 4.439 1.367
Mn 2.106 0.252 4.413
Mn 6.075 8.122 7.147
Mn 6.196 3.935 10.193
Mn 6.049 0.232 1.263
Mn 6.159 4.419 4.522
P 7.853 2.103 5.920
P 7.229 3.245 1.686
P 7.253 0.948 9.912
P 4.979 7.432 4.098
P 5.018 5.135 7.428
P 4.418 6.290 11.420
P 3.763 2.084 0.140
P 3.163 3.239 4.132
P 0.327 6.271 5.640
P 0.952 5.129 9.874
P 3.202 0.942 7.462
P 0.927 7.426 1.648
O 2.170 3.681 5.236
O 7.644 5.588 4.526
O 7.578 7.478 1.187
O 7.634 4.801 9.435
O 7.324 3.009 4.774
O 6.852 2.353 9.452
O 6.985 3.603 0.231
O 7.122 8.354 8.708
O 0.538 1.055 5.103
O 0.536 2.786 7.034
O 0.603 0.896 10.373
O 0.547 3.573 2.124
O 0.856 5.365 6.786
O 1.078 6.667 9.696
O 1.196 4.771 11.329
O 1.058 0.020 2.852
O 1.329 6.021 2.108
O 1.546 6.951 5.014
O 1.937 4.341 8.968
O 1.920 7.868 0.544
O 2.217 0.154 8.368
O 7.643 7.319 6.457
O 2.544 2.764 0.766
O 2.762 1.834 3.672
O 2.958 0.584 6.006
O 3.076 2.480 7.640
O 3.032 4.207 2.928
O 3.298 1.178 10.549
O 3.552 5.083 6.963
O 3.618 6.973 10.302
O 3.544 7.760 3.655
O 3.552 5.242 0.677
O 4.629 3.132 10.883
O 4.637 0.614 7.904
O 4.563 1.401 1.258
O 4.629 3.291 4.597
O 4.883 7.195 1.011
O 5.149 4.167 8.632
O 5.105 5.894 3.920
O 5.222 7.790 5.553
O 5.419 6.540 7.888
O 5.637 5.610 10.794
O 6.010 4.693 6.324
O 5.964 8.220 3.192
O 6.261 0.506 11.016
O 6.244 4.033 2.592
O 6.635 1.423 6.546
O 7.102 1.707 1.864
```

Results
Total energy = -747.85 eV per cell
Formation energy from raw total energies = -2.34 eV/atom
D(E_F) = 0.00 states/eV per atom

---

(2)
Here is LiMn2P2O10 at its PBEsol-relaxed geometry from the Alexandria database. Energies are from SCAN.

Geometry as extended XYZ:
```
30
Lattice="6.600 -0.036 -0.009 3.053 6.042 -0.026 0.130 -0.076 7.820" Properties=species:S:1:pos:R:3 pbc="T T T"
Li 3.867 4.656 7.288
Li 7.101 4.671 3.374
Mn 1.681 -0.014 1.956
Mn 3.221 2.972 1.954
Mn 6.585 2.916 5.860
Mn 5.045 -0.069 5.861
P 2.417 1.376 7.129
P 4.138 4.523 4.548
P 5.652 1.396 3.214
P 7.373 4.544 0.633
O 1.318 0.633 0.212
O 1.618 2.049 5.999
O 2.319 1.531 2.489
O 3.065 2.520 0.110
O 3.277 3.534 3.743
O 3.260 5.531 5.321
O 3.341 0.349 6.450
O 4.088 4.442 1.370
O 4.683 0.577 4.116
O 4.891 3.833 5.715
O 4.854 2.069 2.084
O 5.163 5.234 3.631
O 5.683 1.475 6.394
O 6.495 5.551 1.407
O 6.576 0.369 2.536
O 6.429 2.465 4.015
O 6.642 3.478 7.648
O 7.453 4.386 5.276
O 8.126 3.853 1.800
O 8.527 5.179 7.536
```

Results
Total energy = -309.82 eV per cell
Formation energy from raw total energies = -2.19 eV/atom

---

(3)
Here is Li4MnP6O18 at its PBEsol-relaxed geometry from the Alexandria database. Energies are from SCAN.

Geometry as extended XYZ:
```
29
Lattice="7.052 -0.061 0.414 -0.951 7.411 -0.848 -2.635 -3.200 6.581" Properties=species:S:1:pos:R:3 pbc="T T T"
Li 1.103 -0.778 3.788
Li 0.413 0.484 6.361
Li 2.339 4.924 2.241
Li 0.435 6.684 -0.054
Mn 3.156 -2.526 6.326
P -1.984 -0.271 4.281
P 3.776 0.493 2.311
P 2.974 1.608 4.788
P 0.459 2.508 1.355
P -0.330 3.640 3.862
P 5.478 4.481 1.859
O 4.137 -1.513 4.841
O 2.740 -0.597 2.369
O 5.092 0.046 3.127
O -0.594 -0.353 4.787
O 1.856 0.648 5.020
O 4.363 0.974 5.316
O 4.234 1.031 0.998
O 0.424 1.128 0.753
O 3.263 1.743 3.200
O 0.171 2.391 2.943
O 2.922 2.988 5.360
O -0.783 3.137 5.174
O -0.898 3.206 0.822
O 1.631 3.404 1.129
O 4.077 4.538 1.359
O -1.609 4.139 3.017
O 0.756 4.712 3.793
O -0.643 5.700 1.287
```

Results
Total energy = -273.60 eV per cell
Formation energy from raw total energies = -2.46 eV/atom
D(E_F) = 0.00 states/eV per atom

---

(4)
Here is LiMn2P2O8 at its PBEsol-relaxed geometry from the Alexandria database. Energies are from SCAN.

Geometry as extended XYZ:
```
13
Lattice="-2.047 -2.018 -3.831 -1.777 -4.482 1.725 -5.719 1.972 -0.042" Properties=species:S:1:pos:R:3 pbc="T T T"
Li -1.993 -3.599 -0.118
Mn -7.109 -4.021 -2.392
Mn -2.397 -0.487 0.323
P -5.400 0.034 -1.037
P -4.129 -4.633 -1.079
O -4.466 -0.849 -0.106
O -4.035 -3.946 0.332
O -6.634 -3.010 0.608
O -6.827 -0.009 -0.489
O -8.408 -2.619 -1.661
O -2.904 -1.560 -2.720
O -5.388 -0.594 -2.469
O -5.036 -3.738 -2.026
```

Results
Total energy = -140.90 eV per cell
Formation energy from raw total energies = -2.41 eV/atom
D(E_F) = 0.13 states/eV per atom

---

(5)
Here is Li3MnP2O8 at its PBEsol-relaxed geometry from the Alexandria database. Energies are from SCAN.

Geometry as extended XYZ:
```
42
Lattice="7.272 0.081 -0.234 -0.184 8.086 -0.036 -1.103 -4.075 7.395" Properties=species:S:1:pos:R:3 pbc="T T T"
Li 1.967 5.515 -0.039
Li 1.885 1.367 2.518
Li 3.636 0.041 -0.117
Li 3.452 0.100 4.617
Li 4.377 -1.204 2.190
Li 1.607 5.296 4.935
Li 2.532 3.992 2.509
Li 4.099 2.725 4.607
Li 4.017 -1.422 7.165
Mn 0.000 0.000 0.000
Mn 6.390 0.034 4.560
Mn -0.405 4.058 2.565
P 1.115 2.419 4.884
P 1.226 -1.191 2.505
P 0.783 -1.515 7.160
P 5.202 5.607 -0.034
P 4.759 5.283 4.621
P 4.869 1.673 2.241
O 4.793 2.729 6.593
O 2.457 1.710 4.776
O 0.075 1.419 5.496
O 4.232 0.305 6.466
O 5.194 1.273 3.730
O 4.883 0.452 1.329
O 0.088 -1.314 5.771
O 0.150 -0.247 3.034
O 0.898 6.840 0.905
O 2.606 -0.648 2.885
O 2.205 -1.969 6.791
O 5.049 -1.328 4.136
O 0.935 5.420 2.990
O 3.780 6.061 0.334
O 3.378 4.740 4.240
O 5.086 -2.748 6.220
O 5.835 4.339 4.091
O 5.897 5.406 1.355
O 1.101 3.640 5.796
O 0.790 2.819 3.396
O 1.752 3.787 0.659
O 5.910 2.673 1.629
O 3.528 2.383 2.349
O 1.191 1.364 0.533
```

Results
Total energy = -393.25 eV per cell
Formation energy from raw total energies = -2.50 eV/atom
D(E_F) = 0.00 states/eV per atom

---

(6)
Here is Li3Mn2P3O12 at its PBEsol-relaxed geometry from the Alexandria database. Energies are from SCAN.

Geometry as extended XYZ:
```
40
Lattice="6.133 0.008 0.010 -2.239 8.305 0.032 -2.239 -2.003 8.060" Properties=species:S:1:pos:R:3 pbc="T T T"
Li 2.361 1.098 5.658
Li 2.361 -1.771 7.892
Li 0.828 3.155 4.051
Li -0.706 8.081 0.211
Li -0.706 5.212 2.445
Li -2.239 3.151 4.046
Mn 2.876 2.928 0.433
Mn -0.190 -0.301 2.940
Mn 1.845 6.611 5.163
Mn -1.221 3.382 7.669
P -1.175 5.839 5.433
P 1.891 3.842 6.997
P -0.706 1.022 5.708
P 2.361 5.288 2.394
P 2.830 0.471 2.669
P -0.236 2.469 1.105
O -3.060 3.551 7.971
O -1.316 5.404 6.921
O -2.420 6.697 5.024
O 0.006 6.862 5.400
O 4.716 2.760 0.132
O 2.972 0.906 1.181
O 4.075 -0.387 3.079
O 1.649 -0.552 2.703
O -0.095 0.919 1.163
O 1.008 3.076 0.374
O 2.655 1.601 3.660
O 2.919 3.868 2.111
O -0.411 3.152 2.443
O 3.575 6.243 2.232
O -0.147 1.095 4.262
O 1.146 5.679 1.508
O 0.509 0.631 6.594
O 1.802 5.215 3.840
O -1.920 0.067 5.871
O 2.067 3.158 5.659
O -1.264 2.442 5.992
O -1.000 4.709 4.443
O 0.647 3.235 7.729
O 1.750 5.391 6.940
```

Results
Total energy = -397.86 eV per cell
Formation energy from raw total energies = -2.46 eV/atom

---

(7)
Here is LiMnP4O12 at its PBEsol-relaxed geometry from the Alexandria database. Energies are from SCAN.

Geometry as extended XYZ:
```
36
Lattice="8.186 0.000 0.000 4.093 7.777 -0.214 4.093 1.688 7.459" Properties=species:S:1:pos:R:3 pbc="T T T"
Li 6.227 3.210 5.540
Li 10.145 6.255 1.704
Mn 9.744 3.210 5.540
Mn 6.629 6.255 1.704
P 9.762 8.187 6.421
P 12.760 8.133 6.094
P 8.667 6.065 4.772
P 5.669 6.010 4.445
P 10.704 3.455 2.799
P 7.705 3.400 2.472
P 3.612 1.333 1.150
P 6.611 1.278 0.823
O 13.711 7.779 7.157
O 11.280 7.609 6.451
O 5.418 1.456 5.640
O 8.956 6.829 6.157
O 10.998 2.675 6.795
O 13.049 7.369 4.709
O 5.418 4.964 5.441
O 8.502 4.597 5.202
O 8.502 1.824 5.879
O 7.187 6.589 4.415
O 9.618 6.419 3.710
O 10.998 3.745 4.286
O 5.374 5.720 2.958
O 6.755 3.046 3.534
O 9.186 2.877 2.829
O 7.870 7.641 1.366
O 7.870 4.868 2.042
O 10.955 4.501 1.803
O 3.323 2.096 2.535
O 5.374 6.790 0.449
O 7.416 2.636 1.087
O 10.955 8.009 1.604
O 5.093 1.856 0.793
O 2.661 1.686 0.088
```

Results
Total energy = -356.58 eV per cell
Formation energy from raw total energies = -2.29 eV/atom
D(E_F) = 0.00 states/eV per atom

---

(8)
Here is LiMnPO2 at its PBEsol-relaxed geometry from the Alexandria database. Energies are from SCAN.

Geometry as extended XYZ:
```
5
Lattice="-2.747 2.088 0.815 -1.536 -0.815 -3.090 -2.037 -3.427 1.916" Properties=species:S:1:pos:R:3 pbc="T T T"
P -1.018 -1.714 0.958
Mn -3.160 -1.077 -0.179
O -0.768 -0.407 -1.545
O -1.374 1.044 0.408
Li 0.000 0.000 0.000
```

Results
Total energy = -43.67 eV per cell
Formation energy from raw total energies = -0.03 eV/atom
D(E_F) = 0.49 states/eV per atom

---

(9)
Here is Li2Mn3P4O14 at its PBEsol-relaxed geometry from the Alexandria database. Energies are from SCAN.

Geometry as extended XYZ:
```
23
Lattice="-3.783 -3.448 -2.384 -2.502 -5.012 4.330 -5.856 2.982 3.291" Properties=species:S:1:pos:R:3 pbc="T T T"
Li -6.587 -0.303 0.755
Li -5.555 -5.175 4.481
Mn 0.000 0.000 0.000
Mn -3.859 -2.173 2.730
Mn -8.283 -3.305 2.507
P -5.704 -3.077 0.427
P -4.612 -5.607 1.656
P -7.530 0.130 3.581
P -6.438 -2.400 4.810
O -6.005 -6.266 1.559
O -7.102 -3.640 0.757
O -9.391 -3.468 4.288
O -6.137 0.788 3.678
O -5.040 -1.838 4.480
O -2.751 -2.009 0.948
O -6.694 -2.632 6.286
O -7.503 -1.244 4.422
O -5.423 -1.871 1.328
O -4.238 -5.170 3.075
O -7.904 -0.307 2.162
O -6.718 -3.607 3.908
O -4.638 -4.233 0.815
O -5.447 -2.845 -1.049
```

Results
Total energy = -244.67 eV per cell
Formation energy from raw total energies = -2.45 eV/atom
D(E_F) = 0.00 states/eV per atom

---

(10)
Here is Li2Mn3P4O14 at its PBEsol-relaxed geometry from the Alexandria database. Energies are from SCAN.

Geometry as extended XYZ:
```
46
Lattice="-1.790 -5.719 -4.278 4.969 -4.582 4.046 -5.923 0.364 7.686" Properties=species:S:1:pos:R:3 pbc="T T T"
Li -2.679 -4.007 7.673
Li 1.956 -5.732 5.193
Li -4.700 -4.205 2.261
Li -0.065 -5.930 -0.219
Mn -2.961 0.182 3.843
Mn -0.351 -3.797 5.680
Mn 2.485 -2.291 2.023
Mn 3.876 -5.146 2.868
Mn -6.620 -4.791 4.586
Mn -2.393 -6.140 1.774
P 1.210 -8.620 0.934
P -2.191 -8.033 4.419
P -2.123 -3.579 -0.661
P 0.365 -4.718 2.664
P -3.108 -5.219 4.791
P -0.621 -6.358 8.115
P -3.953 -1.317 6.520
P -0.553 -1.904 3.035
O -1.148 -6.949 -1.946
O 2.184 -9.690 0.413
O 0.850 -7.633 -0.154
O -4.549 -6.361 1.539
O -2.439 -7.976 2.902
O 1.956 -7.794 2.079
O -1.596 -2.988 9.400
O -4.928 -0.247 7.042
O -3.594 -2.304 7.608
O 1.805 -3.576 5.916
O -0.304 -1.961 4.552
O -4.699 -2.143 5.375
O -1.871 -5.635 8.610
O -1.909 -1.310 2.726
O 0.224 -5.443 7.201
O -2.414 -4.244 5.738
O -0.569 -3.402 2.484
O 0.318 -5.106 4.139
O 1.801 -4.348 2.231
O -0.864 -7.749 7.535
O -1.879 -2.188 -0.081
O -4.544 -5.589 5.224
O -3.062 -4.831 3.315
O -2.175 -6.535 4.970
O -0.330 -5.693 1.716
O -2.968 -4.494 0.253
O -0.835 -8.627 4.728
O -0.873 -4.302 -1.156
```

Results
Total energy = -490.09 eV per cell
Formation energy from raw total energies = -2.46 eV/atom
D(E_F) = 0.00 states/eV per atom

---

(11)
Here is Li2MnP2O8 at its PBEsol-relaxed geometry from the Alexandria database. Energies are from SCAN.

Geometry as extended XYZ:
```
26
Lattice="-2.922 2.962 -4.441 -4.221 -4.204 1.245 0.269 5.154 7.219" Properties=species:S:1:pos:R:3 pbc="T T T"
Li -3.730 -0.530 4.216
Li -4.695 4.991 4.229
Li -2.179 -1.079 -0.206
Li -3.145 4.442 -0.193
Mn -1.755 1.839 0.206
Mn -5.120 2.073 3.816
P -3.172 2.591 -2.597
P -2.408 3.542 2.862
P -4.467 0.370 1.161
P -3.703 1.322 6.619
O -3.122 0.546 0.407
O -4.263 0.828 2.650
O -4.046 1.204 5.110
O -4.577 -1.186 1.190
O -1.091 0.561 -1.046
O -4.215 1.556 -2.903
O -6.138 2.831 2.474
O -1.240 2.892 3.545
O -5.635 1.020 0.478
O -0.737 1.081 1.549
O -2.660 2.356 6.925
O -5.784 3.351 5.069
O -2.298 5.098 2.833
O -2.829 2.708 -1.087
O -2.612 3.084 1.372
O -3.753 3.366 3.615
```

Results
Total energy = -250.74 eV per cell
Formation energy from raw total energies = -2.44 eV/atom
D(E_F) = 0.00 states/eV per atom